[1]
Below is a relaxed structure of Sm6HgAs3Se2, with properties calculated at the PBE level.

Cell and atoms, written as POSCAR:
```
Sm6HgAs3Se2
1.0
4.196 0.000 0.000
0.000 8.528 0.336
-2.098 -2.426 8.885
As Sm Se Hg
3 6 2 1
direct
0.166 0.835 0.332
0.500 0.500 0.000
0.834 0.165 0.668
0.000 0.733 0.999
0.327 0.916 0.655
0.000 0.267 0.001
0.665 0.591 0.330
0.673 0.084 0.345
0.335 0.409 0.670
0.832 0.662 0.663
0.168 0.338 0.337
0.500 0.000 0.000
```

Output
**Total energy**: -5.59 eV/atom
**Uncorrected formation energy**: -17.60 eV per formula unit

[2]
Below is a relaxed structure of La12Sm5Sc2, with properties calculated at the PBE level.

Cell and atoms, written as POSCAR:
```
La12Sm5Sc2
1.0
-2.089 7.312 -2.473
-5.069 -2.953 8.477
3.526 3.793 8.237
Sm La Sc
5 12 2
direct
0.000 0.000 0.500
0.689 0.378 0.812
0.311 0.622 0.188
0.206 0.413 0.798
0.794 0.587 0.202
0.920 0.301 0.146
0.480 0.961 0.676
0.619 0.699 0.854
0.985 0.970 0.179
0.520 0.039 0.324
0.914 0.310 0.535
0.015 0.030 0.821
0.605 0.690 0.465
0.080 0.699 0.854
0.381 0.301 0.146
0.395 0.310 0.535
0.086 0.690 0.465
0.326 0.000 0.000
0.674 0.000 0.000
```

Output
**Total energy**: -4.87 eV/atom
**Formation energy from the elements**: 0.15 eV per atom

[3]
Below is a relaxed structure of Zn2SbW, with properties calculated at the PBE level.

Cell and atoms, written as POSCAR:
```
Zn2SbW
1.0
-4.827 1.616 0.179
-2.994 -2.483 -3.288
3.213 -1.200 3.766
Zn W Sb
2 1 1
direct
0.993 0.993 0.000
0.760 0.260 0.500
0.245 0.745 0.500
0.502 0.502 0.000
```

Output
**Total energy**: -4.52 eV/atom
**Uncorrected formation energy**: 1.56 eV per formula unit